! TiTl2RuF (PBE, relaxed); values from VASP
! total energy	-23.453	eV per cell
! space group	P4/mmm
! E_form (uncorrected)	0.06	eV per atom
&SYSTEM
  ibrav = 0, nat = 5, ntyp = 4
/
ATOMIC_SPECIES
Ru 101.07 Ru.upf
Tl 204.38 Tl.upf
Ti 47.87 Ti.upf
F 19.00 F.upf
ATOMIC_POSITIONS angstrom
Ru 2.475 1.961 2.475
Tl 0.000 0.000 2.475
Tl 2.475 0.000 0.000
Ti 0.000 1.961 0.000
F 0.000 0.000 0.000
CELL_PARAMETERS angstrom
4.950 0.000 0.000
0.000 3.923 0.000
0.000 0.000 4.950